Version 1
A plane-wave DFT calculation with PBE was carried out for an optimized crystal structure of TiZnSb3.

Values from the calculation:
The value obtained for the total magnetization is 0.002 Bohr magnetons per cell.

Lattice parameters (Å, degrees): 5.1476 5.1476 5.1476 90.00 90.00 90.00
Last column: nearest neighbours and their distance in Å.
Space group Pm-3m (No. 221)
One atom of each set of equivalent atoms:
Ti (0.0000, 0.0000, 0.0000) x1  12 Sb 3.64
Zn (0.5000, 0.5000, 0.5000) x1  6 Sb 2.57
Sb (0.0000, 0.5000, 0.5000) x3  2 Zn 2.57

---

Version 2
A plane-wave DFT calculation with PBE was carried out for an optimized crystal structure of TiZnSb3.

Values from the calculation:
The value obtained for the total magnetization is 0.000 Bohr magnetons per cell.

Lattice parameters (Å, degrees): 5.2530 5.2530 5.2530 90.00 90.00 90.00
Last column: nearest neighbours and their distance in Å.
Space group Pm-3m (No. 221)
One atom of each set of equivalent atoms:
Ti (0.0000, 0.0000, 0.0000) x1  6 Sb 2.63
Zn (0.5000, 0.5000, 0.5000) x1  12 Sb 3.71
Sb (0.0000, 0.0000, 0.5000) x3  2 Ti 2.63

---

Which structure loses on stability? version 1 does.